Below is a geometry-optimized AcPtAuO6 structure, with properties calculated at the GGA-PBE level.

The space group is P-31c (No. 163) and the conventional cell measures 6.1217, 6.1217 and 7.2292 Å, with angles of 90.00, 90.00 and 120.00 degrees. The asymmetric unit holds Ac at (0.3333, 0.6667, 0.2500), Pt at (0.3333, 0.6667, 0.7500), Au at (0.0000, 0.0000, 0.0000) and O at (0.0715, 0.3927, 0.5931).

As for the calculated total energy: -5.66 eV/atom.